[1]
# Tb6Ce2PrDy3 (PBE, optimized geometry)
# **Energy**: -4.8022 eV per atom
# **Magnetization**: 0.154 μB per atom
# **Space group**: C2/m
# **ΔH_f (0 K)**: 50.8 meV per atom
data_Tb6Ce2PrDy3
_chemical_formula_sum 'Tb6 Ce2 Pr1 Dy3'
_symmetry_space_group_name_H-M 'P 1'
_symmetry_Int_Tables_number 1
_cell_length_a 6.166
_cell_length_b 6.166
_cell_length_c 11.806
_cell_angle_alpha 94.99
_cell_angle_beta 94.99
_cell_angle_gamma 120.01
loop_
_symmetry_equiv_pos_as_xyz
'x,y,z'
loop_
_atom_site_label
_atom_site_type_symbol
_atom_site_fract_x
_atom_site_fract_y
_atom_site_fract_z
_atom_site_occupancy
Tb1 Tb 0.079 0.416 0.249 1
Tb2 Tb 0.248 0.248 0.751 1
Tb3 Tb 0.416 0.079 0.249 1
Tb4 Tb 0.584 0.921 0.751 1
Tb5 Tb 0.752 0.752 0.249 1
Tb6 Tb 0.921 0.584 0.751 1
Ce1 Ce 0.167 0.833 0.500 1
Ce2 Ce 0.833 0.167 0.500 1
Pr1 Pr 0.500 0.500 0.500 1
Dy1 Dy 0.000 0.000 0.000 1
Dy2 Dy 0.334 0.666 0.000 1
Dy3 Dy 0.666 0.334 0.000 1


[2]
# Tb2CePrDy4 (PBE, optimized geometry)
# **Energy**: -4.7571 eV per atom
# **Magnetization**: 0.108 μB per atom
# **Space group**: P2/m
# **ΔH_f (0 K)**: 40.7 meV per atom
data_Tb2CePrDy4
_chemical_formula_sum 'Tb2 Ce1 Pr1 Dy4'
_symmetry_space_group_name_H-M 'P 1'
_symmetry_Int_Tables_number 1
_cell_length_a 6.169
_cell_length_b 3.563
_cell_length_c 11.821
_cell_angle_alpha 90.00
_cell_angle_beta 100.04
_cell_angle_gamma 90.00
loop_
_symmetry_equiv_pos_as_xyz
'x,y,z'
loop_
_atom_site_label
_atom_site_type_symbol
_atom_site_fract_x
_atom_site_fract_y
_atom_site_fract_z
_atom_site_occupancy
Tb1 Tb 0.000 0.000 0.000 1
Tb2 Tb 0.000 0.500 0.500 1
Ce1 Ce 0.500 0.000 0.500 1
Pr1 Pr 0.500 0.500 0.000 1
Dy1 Dy 0.251 0.000 0.748 1
Dy2 Dy 0.254 0.500 0.254 1
Dy3 Dy 0.746 0.500 0.746 1
Dy4 Dy 0.749 0.000 0.252 1


[3]
# TbCePrDy (PBE, optimized geometry)
# **Energy**: -4.8118 eV per atom
# **Magnetization**: 0.226 μB per atom
# **Space group**: F-43m
# **ΔH_f (0 K)**: 174.6 meV per atom
data_TbCePrDy
_chemical_formula_sum 'Tb1 Ce1 Pr1 Dy1'
_symmetry_space_group_name_H-M 'P 1'
_symmetry_Int_Tables_number 1
_cell_length_a 5.714
_cell_length_b 5.714
_cell_length_c 5.714
_cell_angle_alpha 60.00
_cell_angle_beta 60.00
_cell_angle_gamma 60.00
loop_
_symmetry_equiv_pos_as_xyz
'x,y,z'
loop_
_atom_site_label
_atom_site_type_symbol
_atom_site_fract_x
_atom_site_fract_y
_atom_site_fract_z
_atom_site_occupancy
Tb1 Tb 0.000 0.000 0.000 1
Ce1 Ce 0.750 0.750 0.750 1
Pr1 Pr 0.250 0.250 0.250 1
Dy1 Dy 0.500 0.500 0.500 1


[4]
# Ce2PrDyTe5 (PBE, optimized geometry)
# **Energy**: -4.9605 eV per atom
# **Magnetization**: 0.381 μB per atom
# **Raw formation energy**: -0.854 eV/atom
# **Space group**: P4/mmm
data_Ce2PrDyTe5
_chemical_formula_sum 'Ce2 Pr1 Dy1 Te5'
_symmetry_space_group_name_H-M 'P 1'
_symmetry_Int_Tables_number 1
_cell_length_a 5.518
_cell_length_b 5.518
_cell_length_c 11.848
_cell_angle_alpha 90.00
_cell_angle_beta 90.00
_cell_angle_gamma 90.00
loop_
_symmetry_equiv_pos_as_xyz
'x,y,z'
loop_
_atom_site_label
_atom_site_type_symbol
_atom_site_fract_x
_atom_site_fract_y
_atom_site_fract_z
_atom_site_occupancy
Ce1 Ce 0.000 0.000 0.172 1
Ce2 Ce 0.000 0.000 0.828 1
Pr1 Pr 0.500 0.500 0.500 1
Dy1 Dy 0.500 0.500 0.000 1
Te1 Te 0.000 0.000 0.500 1
Te2 Te 0.000 0.500 0.000 1
Te3 Te 0.500 0.000 0.000 1
Te4 Te 0.500 0.500 0.250 1
Te5 Te 0.500 0.500 0.750 1


[5]
# CePr2Dy3Te6 (PBE, optimized geometry)
# **Energy**: -5.3677 eV per atom
# **Magnetization**: 0.111 μB per atom
# **Raw formation energy**: -1.355 eV/atom
# **Space group**: C2/m
data_CePr2Dy3Te6
_chemical_formula_sum 'Ce1 Pr2 Dy3 Te6'
_symmetry_space_group_name_H-M 'P 1'
_symmetry_Int_Tables_number 1
_cell_length_a 9.972
_cell_length_b 9.972
_cell_length_c 8.984
_cell_angle_alpha 104.40
_cell_angle_beta 104.40
_cell_angle_gamma 25.41
loop_
_symmetry_equiv_pos_as_xyz
'x,y,z'
loop_
_atom_site_label
_atom_site_type_symbol
_atom_site_fract_x
_atom_site_fract_y
_atom_site_fract_z
_atom_site_occupancy
Ce1 Ce 0.000 0.000 0.000 1
Pr1 Pr 0.333 0.333 0.666 1
Pr2 Pr 0.667 0.667 0.334 1
Dy1 Dy 0.000 0.000 0.500 1
Dy2 Dy 0.331 0.331 0.165 1
Dy3 Dy 0.669 0.669 0.835 1
Te1 Te 0.163 0.163 0.592 1
Te2 Te 0.168 0.168 0.075 1
Te3 Te 0.496 0.496 0.256 1
Te4 Te 0.504 0.504 0.744 1
Te5 Te 0.832 0.832 0.925 1
Te6 Te 0.837 0.837 0.408 1


[6]
# Ce3Pr2DyTe6 (PBE, optimized geometry)
# **Energy**: -5.6185 eV per atom
# **Magnetization**: 0.287 μB per atom
# **Raw formation energy**: -1.384 eV/atom
# **Space group**: C2/m
data_Ce3Pr2DyTe6
_chemical_formula_sum 'Ce3 Pr2 Dy1 Te6'
_symmetry_space_group_name_H-M 'P 1'
_symmetry_Int_Tables_number 1
_cell_length_a 7.741
_cell_length_b 7.741
_cell_length_c 7.802
_cell_angle_alpha 99.51
_cell_angle_beta 99.51
_cell_angle_gamma 120.04
loop_
_symmetry_equiv_pos_as_xyz
'x,y,z'
loop_
_atom_site_label
_atom_site_type_symbol
_atom_site_fract_x
_atom_site_fract_y
_atom_site_fract_z
_atom_site_occupancy
Ce1 Ce 0.000 0.000 0.000 1
Ce2 Ce 0.328 0.672 0.000 1
Ce3 Ce 0.672 0.328 0.000 1
Pr1 Pr 0.166 0.834 0.500 1
Pr2 Pr 0.834 0.166 0.500 1
Dy1 Dy 0.500 0.500 0.500 1
Te1 Te 0.094 0.418 0.254 1
Te2 Te 0.260 0.260 0.752 1
Te3 Te 0.418 0.094 0.254 1
Te4 Te 0.582 0.906 0.746 1
Te5 Te 0.740 0.740 0.248 1
Te6 Te 0.906 0.582 0.746 1


[7]
# Ce2Pr3DyTe6 (PBE, optimized geometry)
# **Energy**: -5.5330 eV per atom
# **Magnetization**: 0.202 μB per atom
# **Raw formation energy**: -1.395 eV/atom
# **Space group**: C2/m
data_Ce2Pr3DyTe6
_chemical_formula_sum 'Ce2 Pr3 Dy1 Te6'
_symmetry_space_group_name_H-M 'P 1'
_symmetry_Int_Tables_number 1
_cell_length_a 10.055
_cell_length_b 10.055
_cell_length_c 9.052
_cell_angle_alpha 103.57
_cell_angle_beta 103.57
_cell_angle_gamma 25.60
loop_
_symmetry_equiv_pos_as_xyz
'x,y,z'
loop_
_atom_site_label
_atom_site_type_symbol
_atom_site_fract_x
_atom_site_fract_y
_atom_site_fract_z
_atom_site_occupancy
Ce1 Ce 0.167 0.167 0.336 1
Ce2 Ce 0.833 0.833 0.664 1
Pr1 Pr 0.168 0.168 0.834 1
Pr2 Pr 0.500 0.500 0.500 1
Pr3 Pr 0.832 0.832 0.166 1
Dy1 Dy 0.500 0.500 0.000 1
Te1 Te 0.000 0.000 0.240 1
Te2 Te 0.000 0.000 0.760 1
Te3 Te 0.333 0.333 0.417 1
Te4 Te 0.338 0.338 0.916 1
Te5 Te 0.662 0.662 0.084 1
Te6 Te 0.667 0.667 0.583 1


[8]
# CePr2DyTe5 (PBE, optimized geometry)
# **Energy**: -4.8342 eV per atom
# **Magnetization**: 0.188 μB per atom
# **Raw formation energy**: -0.856 eV/atom
# **Space group**: P4/mmm
data_CePr2DyTe5
_chemical_formula_sum 'Ce1 Pr2 Dy1 Te5'
_symmetry_space_group_name_H-M 'P 1'
_symmetry_Int_Tables_number 1
_cell_length_a 5.550
_cell_length_b 5.550
_cell_length_c 11.900
_cell_angle_alpha 90.00
_cell_angle_beta 90.00
_cell_angle_gamma 90.00
loop_
_symmetry_equiv_pos_as_xyz
'x,y,z'
loop_
_atom_site_label
_atom_site_type_symbol
_atom_site_fract_x
_atom_site_fract_y
_atom_site_fract_z
_atom_site_occupancy
Ce1 Ce 0.000 0.000 0.000 1
Pr1 Pr 0.500 0.500 0.341 1
Pr2 Pr 0.500 0.500 0.659 1
Dy1 Dy 0.000 0.000 0.500 1
Te1 Te 0.000 0.000 0.252 1
Te2 Te 0.000 0.000 0.748 1
Te3 Te 0.000 0.500 0.500 1
Te4 Te 0.500 0.000 0.500 1
Te5 Te 0.500 0.500 0.000 1


[9]
# CePr4Dy3Te8 (PBE, optimized geometry)
# **Energy**: -5.3723 eV per atom
# **Magnetization**: 0.067 μB per atom
# **Raw formation energy**: -1.373 eV/atom
# **Space group**: R-3m
data_CePr4Dy3Te8
_chemical_formula_sum 'Ce1 Pr4 Dy3 Te8'
_symmetry_space_group_name_H-M 'P 1'
_symmetry_Int_Tables_number 1
_cell_length_a 8.986
_cell_length_b 8.986
_cell_length_c 8.986
_cell_angle_alpha 59.07
_cell_angle_beta 59.07
_cell_angle_gamma 59.07
loop_
_symmetry_equiv_pos_as_xyz
'x,y,z'
loop_
_atom_site_label
_atom_site_type_symbol
_atom_site_fract_x
_atom_site_fract_y
_atom_site_fract_z
_atom_site_occupancy
Ce1 Ce 0.000 0.000 0.000 1
Pr1 Pr 0.000 0.000 0.500 1
Pr2 Pr 0.000 0.500 0.000 1
Pr3 Pr 0.500 0.000 0.000 1
Pr4 Pr 0.500 0.500 0.500 1
Dy1 Dy 0.000 0.500 0.500 1
Dy2 Dy 0.500 0.000 0.500 1
Dy3 Dy 0.500 0.500 0.000 1
Te1 Te 0.249 0.249 0.741 1
Te2 Te 0.249 0.741 0.249 1
Te3 Te 0.255 0.255 0.255 1
Te4 Te 0.259 0.751 0.751 1
Te5 Te 0.741 0.249 0.249 1
Te6 Te 0.745 0.745 0.745 1
Te7 Te 0.751 0.259 0.751 1
Te8 Te 0.751 0.751 0.259 1


[10]
# Ce3Pr3DyTe8 (PBE, optimized geometry)
# **Energy**: -5.5516 eV per atom
# **Magnetization**: 0.250 μB per atom
# **Raw formation energy**: -1.427 eV/atom
# **Space group**: R-3m
data_Ce3Pr3DyTe8
_chemical_formula_sum 'Ce3 Pr3 Dy1 Te8'
_symmetry_space_group_name_H-M 'P 1'
_symmetry_Int_Tables_number 1
_cell_length_a 9.003
_cell_length_b 9.003
_cell_length_c 9.003
_cell_angle_alpha 59.82
_cell_angle_beta 59.82
_cell_angle_gamma 59.82
loop_
_symmetry_equiv_pos_as_xyz
'x,y,z'
loop_
_atom_site_label
_atom_site_type_symbol
_atom_site_fract_x
_atom_site_fract_y
_atom_site_fract_z
_atom_site_occupancy
Ce1 Ce 0.000 0.500 0.500 1
Ce2 Ce 0.500 0.000 0.500 1
Ce3 Ce 0.500 0.500 0.000 1
Pr1 Pr 0.000 0.000 0.500 1
Pr2 Pr 0.000 0.500 0.000 1
Pr3 Pr 0.500 0.000 0.000 1
Dy1 Dy 0.000 0.000 0.000 1
Te1 Te 0.248 0.248 0.750 1
Te2 Te 0.248 0.750 0.248 1
Te3 Te 0.250 0.752 0.752 1
Te4 Te 0.251 0.251 0.251 1
Te5 Te 0.749 0.749 0.749 1
Te6 Te 0.750 0.248 0.248 1
Te7 Te 0.752 0.250 0.752 1
Te8 Te 0.752 0.752 0.250 1


[11]
# Ce3Pr4DyTe8 (PBE, optimized geometry)
# **Energy**: -5.5630 eV per atom
# **Magnetization**: 0.219 μB per atom
# **Raw formation energy**: -1.397 eV/atom
# **Space group**: R-3m
data_Ce3Pr4DyTe8
_chemical_formula_sum 'Ce3 Pr4 Dy1 Te8'
_symmetry_space_group_name_H-M 'P 1'
_symmetry_Int_Tables_number 1
_cell_length_a 9.007
_cell_length_b 9.007
_cell_length_c 9.007
_cell_angle_alpha 59.72
_cell_angle_beta 59.72
_cell_angle_gamma 59.72
loop_
_symmetry_equiv_pos_as_xyz
'x,y,z'
loop_
_atom_site_label
_atom_site_type_symbol
_atom_site_fract_x
_atom_site_fract_y
_atom_site_fract_z
_atom_site_occupancy
Ce1 Ce 0.000 0.500 0.500 1
Ce2 Ce 0.500 0.000 0.500 1
Ce3 Ce 0.500 0.500 0.000 1
Pr1 Pr 0.000 0.000 0.500 1
Pr2 Pr 0.000 0.500 0.000 1
Pr3 Pr 0.500 0.000 0.000 1
Pr4 Pr 0.500 0.500 0.500 1
Dy1 Dy 0.000 0.000 0.000 1
Te1 Te 0.245 0.245 0.753 1
Te2 Te 0.245 0.753 0.245 1
Te3 Te 0.247 0.755 0.755 1
Te4 Te 0.251 0.251 0.251 1
Te5 Te 0.749 0.749 0.749 1
Te6 Te 0.753 0.245 0.245 1
Te7 Te 0.755 0.247 0.755 1
Te8 Te 0.755 0.755 0.247 1


[12]
# CePr3Dy2Te6 (PBE, optimized geometry)
# **Energy**: -5.4070 eV per atom
# **Magnetization**: 0.105 μB per atom
# **Raw formation energy**: -1.380 eV/atom
# **Space group**: C2/m
data_CePr3Dy2Te6
_chemical_formula_sum 'Ce1 Pr3 Dy2 Te6'
_symmetry_space_group_name_H-M 'P 1'
_symmetry_Int_Tables_number 1
_cell_length_a 9.999
_cell_length_b 9.999
_cell_length_c 9.019
_cell_angle_alpha 103.36
_cell_angle_beta 103.36
_cell_angle_gamma 25.58
loop_
_symmetry_equiv_pos_as_xyz
'x,y,z'
loop_
_atom_site_label
_atom_site_type_symbol
_atom_site_fract_x
_atom_site_fract_y
_atom_site_fract_z
_atom_site_occupancy
Ce1 Ce 0.000 0.000 0.000 1
Pr1 Pr 0.000 0.000 0.500 1
Pr2 Pr 0.337 0.337 0.167 1
Pr3 Pr 0.663 0.663 0.833 1
Dy1 Dy 0.334 0.334 0.669 1
Dy2 Dy 0.666 0.666 0.331 1
Te1 Te 0.168 0.168 0.093 1
Te2 Te 0.171 0.171 0.575 1
Te3 Te 0.495 0.495 0.750 1
Te4 Te 0.505 0.505 0.250 1
Te5 Te 0.829 0.829 0.425 1
Te6 Te 0.832 0.832 0.907 1